# 1
Below is a relaxed structure of Mg3BSb, with properties calculated at the GGA-PBE level.

E, eV for the cell shown: -15.15
Polymorph energy (0 for the lowest one), eV per atom: 0.000
Magnetic moment, Bohr magnetons per cell: 0.0

Cell and atoms, written as CIF:
```
data_Mg3BSb
_cell_length_a 4.621
_cell_length_b 4.621
_cell_length_c 4.621
_cell_angle_alpha 90.00
_cell_angle_beta 90.00
_cell_angle_gamma 90.00
_symmetry_space_group_name_H-M 'P m -3 m'
_symmetry_Int_Tables_number 221
_symmetry_space_group_name_Hall '-P 4 2 3'
loop_
_atom_site_label
_atom_site_type_symbol
_atom_site_fract_x
_atom_site_fract_y
_atom_site_fract_z
Mg1 Mg 0.000 0.000 0.500
B1 B 0.000 0.000 0.000
Sb1 Sb 0.500 0.500 0.500
```

=====

# 2
Below is a relaxed structure of GaSn4Pb, with properties calculated at the GGA-PBE level.

E, eV for the cell shown: -87.40
E_form, kcal/mol of atoms: 3.4
Polymorph energy (0 for the lowest one), eV per atom: 0.112
Magnetic moment, Bohr magnetons per cell: 0.0

Cell and atoms, written as CIF:
```
data_GaSn4Pb
_cell_length_a 8.874
_cell_length_b 8.874
_cell_length_c 8.874
_cell_angle_alpha 90.00
_cell_angle_beta 90.00
_cell_angle_gamma 90.00
_symmetry_space_group_name_H-M 'F -4 3 m'
_symmetry_Int_Tables_number 216
_symmetry_space_group_name_Hall 'F -4 2 3'
loop_
_atom_site_label
_atom_site_type_symbol
_atom_site_fract_x
_atom_site_fract_y
_atom_site_fract_z
Ga1 Ga 0.000 0.000 0.000
Sn1 Sn 0.125 0.125 0.625
Pb1 Pb 0.250 0.250 0.250
```

=====

# 3
Below is a relaxed structure of Zr5Cd2Fe2, with properties calculated at the GGA-PBE level.

E, eV for the cell shown: -248.40
E_form, kcal/mol of atoms: -1.5
Magnetic moment, Bohr magnetons per cell: 0.0

Cell and atoms, written as CIF:
```
data_Zr5Cd2Fe2
_cell_length_a 15.266
_cell_length_b 7.285
_cell_length_c 6.768
_cell_angle_alpha 90.00
_cell_angle_beta 90.00
_cell_angle_gamma 90.00
_symmetry_space_group_name_H-M 'C m c e'
_symmetry_Int_Tables_number 64
_symmetry_space_group_name_Hall '-C 2ac 2'
loop_
_atom_site_label
_atom_site_type_symbol
_atom_site_fract_x
_atom_site_fract_y
_atom_site_fract_z
Zr1 Zr 0.000 0.000 0.000
Zr2 Zr 0.110 0.176 0.337
Cd1 Cd 0.222 0.000 0.000
Fe1 Fe 0.000 0.131 0.634
```